Entry 1:
Below is crystalline TiSb3W at its relaxed geometry, with properties calculated at the GGA-PBE level.

* spin magnetization: 2.77 μB/cell
* V: 145 Å³/cell
* energy relative to the elements, uncorrected: 4.9 eV per formula unit
* uncorrected energy: -5.66 eV/atom
* Fermi-level density of states: 10.91 states/eV per cell
* energy relative to the lowest polymorph listed for this composition: 0 meV per atom

```
data_TiSb3W
_space_group_name_H-M_alt 'P 1'
_space_group_IT_number 1
_space_group_name_Hall 'P 1'
_cell_length_a 5.2572
_cell_length_b 5.2572
_cell_length_c 5.2572
_cell_angle_alpha 90.00
_cell_angle_beta 90.00
_cell_angle_gamma 90.00
loop_
_atom_site_label
_atom_site_fract_x
_atom_site_fract_y
_atom_site_fract_z
Ti1 0.0000 0.0000 0.0000
Sb1 0.0000 0.5000 0.5000
Sb2 0.5000 0.0000 0.5000
Sb3 0.5000 0.5000 0.0000
W1 0.5000 0.5000 0.5000
```

---

Entry 2:
Below is crystalline Ti12Sb6W at its relaxed geometry, with properties calculated at the GGA-PBE level.

* spin magnetization: 0.00 μB/cell
* V: 355 Å³/cell
* energy relative to the elements, uncorrected: -4.4 eV per formula unit
* uncorrected energy: -7.20 eV/atom
* Fermi-level density of states: 18.83 states/eV per cell

```
data_Ti12Sb6W
_space_group_name_H-M_alt 'P 1'
_space_group_IT_number 1
_space_group_name_Hall 'P 1'
_cell_length_a 7.8390
_cell_length_b 7.8390
_cell_length_c 7.8390
_cell_angle_alpha 110.57
_cell_angle_beta 110.57
_cell_angle_gamma 110.57
loop_
_atom_site_label
_atom_site_fract_x
_atom_site_fract_y
_atom_site_fract_z
Ti1 0.0523 0.1900 0.3088
Ti2 0.1900 0.3088 0.0523
Ti3 0.2418 0.6693 0.5960
Ti4 0.3088 0.0523 0.1900
Ti5 0.3307 0.4040 0.7582
Ti6 0.4040 0.7582 0.3307
Ti7 0.5960 0.2418 0.6693
Ti8 0.6693 0.5960 0.2418
Ti9 0.6912 0.9477 0.8100
Ti10 0.7582 0.3307 0.4040
Ti11 0.8100 0.6912 0.9477
Ti12 0.9477 0.8100 0.6912
Sb1 0.0951 0.5916 0.8696
Sb2 0.1304 0.9049 0.4084
Sb3 0.4084 0.1304 0.9049
Sb4 0.5916 0.8696 0.0951
Sb5 0.8696 0.0951 0.5916
Sb6 0.9049 0.4084 0.1304
W1 0.5000 0.5000 0.5000
```

---

Entry 3:
Below is crystalline YTi2Sb2 at its relaxed geometry, with properties calculated at the GGA-PBE level.

* spin magnetization: 0.00 μB/cell
* V: 114 Å³/cell
* energy relative to the elements, uncorrected: -2.8 eV per formula unit
* uncorrected energy: -6.66 eV/atom
* Fermi-level density of states: 4.13 states/eV per cell
* energy relative to the lowest polymorph listed for this composition: 0 meV per atom

```
data_YTi2Sb2
_space_group_name_H-M_alt 'P 1'
_space_group_IT_number 1
_space_group_name_Hall 'P 1'
_cell_length_a 7.3147
_cell_length_b 7.3147
_cell_length_c 7.3147
_cell_angle_alpha 147.23
_cell_angle_beta 147.23
_cell_angle_gamma 47.03
loop_
_atom_site_label
_atom_site_fract_x
_atom_site_fract_y
_atom_site_fract_z
Y1 0.0000 0.0000 0.0000
Ti1 0.2500 0.7500 0.5000
Ti2 0.7500 0.2500 0.5000
Sb1 0.3873 0.3873 0.0000
Sb2 0.6127 0.6127 0.0000
```

---

Entry 4:
Below is crystalline YTi2Sb2 at its relaxed geometry, with properties calculated at the GGA-PBE level.

* spin magnetization: 0.00 μB/cell
* V: 118 Å³/cell
* energy relative to the elements, uncorrected: -1.4 eV per formula unit
* uncorrected energy: -6.38 eV/atom
* Fermi-level density of states: 4.06 states/eV per cell
* energy relative to the lowest polymorph listed for this composition: 284 meV per atom

```
data_YTi2Sb2
_space_group_name_H-M_alt 'P 1'
_space_group_IT_number 1
_space_group_name_Hall 'P 1'
_cell_length_a 5.6416
_cell_length_b 5.6416
_cell_length_c 5.6416
_cell_angle_alpha 124.22
_cell_angle_beta 124.22
_cell_angle_gamma 82.84
loop_
_atom_site_label
_atom_site_fract_x
_atom_site_fract_y
_atom_site_fract_z
Y1 0.0000 0.0000 0.0000
Ti1 0.3568 0.3568 0.0000
Ti2 0.6432 0.6432 0.0000
Sb1 0.2500 0.7500 0.5000
Sb2 0.7500 0.2500 0.5000
```

---

Entry 5:
Below is crystalline YTiSb3 at its relaxed geometry, with properties calculated at the GGA-PBE level.

* spin magnetization: 0.00 μB/cell
* V: 146 Å³/cell
* energy relative to the elements, uncorrected: -0.4 eV per formula unit
* uncorrected energy: -5.43 eV/atom
* Fermi-level density of states: 7.16 states/eV per cell
* energy relative to the lowest polymorph listed for this composition: 588 meV per atom

```
data_YTiSb3
_space_group_name_H-M_alt 'P 1'
_space_group_IT_number 1
_space_group_name_Hall 'P 1'
_cell_length_a 5.2625
_cell_length_b 5.2625
_cell_length_c 5.2625
_cell_angle_alpha 90.00
_cell_angle_beta 90.00
_cell_angle_gamma 90.00
loop_
_atom_site_label
_atom_site_fract_x
_atom_site_fract_y
_atom_site_fract_z
Y1 0.0000 0.0000 0.0000
Ti1 0.5000 0.5000 0.5000
Sb1 0.0000 0.5000 0.5000
Sb2 0.5000 0.0000 0.5000
Sb3 0.5000 0.5000 0.0000
```

---

Entry 6:
Below is crystalline YTi3Sb at its relaxed geometry, with properties calculated at the GGA-PBE level.

* spin magnetization: 0.00 μB/cell
* V: 130 Å³/cell
* energy relative to the elements, uncorrected: 2.7 eV per formula unit
* uncorrected energy: -6.32 eV/atom
* Fermi-level density of states: 4.86 states/eV per cell
* energy relative to the lowest polymorph listed for this composition: 0 meV per atom

```
data_YTi3Sb
_space_group_name_H-M_alt 'P 1'
_space_group_IT_number 1
_space_group_name_Hall 'P 1'
_cell_length_a 5.0650
_cell_length_b 5.0650
_cell_length_c 5.0650
_cell_angle_alpha 90.00
_cell_angle_beta 90.00
_cell_angle_gamma 90.00
loop_
_atom_site_label
_atom_site_fract_x
_atom_site_fract_y
_atom_site_fract_z
Y1 0.0000 0.0000 0.0000
Ti1 0.0000 0.5000 0.5000
Ti2 0.5000 0.0000 0.5000
Ti3 0.5000 0.5000 0.0000
Sb1 0.5000 0.5000 0.5000
```

---

Entry 7:
Below is crystalline YTiSb3 at its relaxed geometry, with properties calculated at the GGA-PBE level.

* spin magnetization: 0.00 μB/cell
* V: 502 Å³/cell
* energy relative to the elements, uncorrected: -3.4 eV per formula unit
* uncorrected energy: -6.02 eV/atom
* Fermi-level density of states: 10.90 states/eV per cell
* energy relative to the lowest polymorph listed for this composition: 0 meV per atom

```
data_YTiSb3
_space_group_name_H-M_alt 'P 1'
_space_group_IT_number 1
_space_group_name_Hall 'P 1'
_cell_length_a 12.9523
_cell_length_b 6.2987
_cell_length_c 6.1485
_cell_angle_alpha 90.00
_cell_angle_beta 90.00
_cell_angle_gamma 90.00
loop_
_atom_site_label
_atom_site_fract_x
_atom_site_fract_y
_atom_site_fract_z
Y1 0.1838 0.0096 0.2500
Y2 0.1838 0.4904 0.7500
Y3 0.8162 0.5096 0.2500
Y4 0.8162 0.9904 0.7500
Ti1 0.4064 0.7500 0.0000
Ti2 0.4064 0.7500 0.5000
Ti3 0.5936 0.2500 0.0000
Ti4 0.5936 0.2500 0.5000
Sb1 0.0029 0.7500 0.0000
Sb2 0.0029 0.7500 0.5000
Sb3 0.2678 0.5021 0.2500
Sb4 0.2678 0.9979 0.7500
Sb5 0.4263 0.1123 0.2500
Sb6 0.4263 0.3877 0.7500
Sb7 0.5737 0.6123 0.2500
Sb8 0.5737 0.8877 0.7500
Sb9 0.7322 0.0021 0.2500
Sb10 0.7322 0.4979 0.7500
Sb11 0.9971 0.2500 0.0000
Sb12 0.9971 0.2500 0.5000
```

---

Entry 8:
Below is crystalline Y2Ti2Sb at its relaxed geometry, with properties calculated at the GGA-PBE level.

* spin magnetization: 2.10 μB/cell
* V: 241 Å³/cell
* energy relative to the elements, uncorrected: -1.0 eV per formula unit
* uncorrected energy: -6.76 eV/atom
* Fermi-level density of states: 8.42 states/eV per cell

```
data_Y2Ti2Sb
_space_group_name_H-M_alt 'P 1'
_space_group_IT_number 1
_space_group_name_Hall 'P 1'
_cell_length_a 7.3209
_cell_length_b 7.3209
_cell_length_c 4.4925
_cell_angle_alpha 90.00
_cell_angle_beta 90.00
_cell_angle_gamma 90.00
loop_
_atom_site_label
_atom_site_fract_x
_atom_site_fract_y
_atom_site_fract_z
Y1 0.1649 0.3351 0.0000
Y2 0.3351 0.8351 0.0000
Y3 0.6649 0.1649 0.0000
Y4 0.8351 0.6649 0.0000
Ti1 0.1308 0.6308 0.5000
Ti2 0.3692 0.1308 0.5000
Ti3 0.6308 0.8692 0.5000
Ti4 0.8692 0.3692 0.5000
Sb1 0.0000 0.0000 0.5000
Sb2 0.5000 0.5000 0.5000
```